# 1
Compound: YErPdRu
Source: Alexandria
Functional: GGA-PBE
Structure: optimized geometry

```
data_YErPdRu
_space_group_name_H-M_alt 'F -4 3 m'
_space_group_IT_number 216
_space_group_name_Hall 'F -4 2 3'
_cell_length_a 6.876
_cell_length_b 6.876
_cell_length_c 6.876
_cell_angle_alpha 90.00
_cell_angle_beta 90.00
_cell_angle_gamma 90.00
loop_
_atom_site_label
_atom_site_type_symbol
_atom_site_fract_x
_atom_site_fract_y
_atom_site_fract_z
Y1 Y 0.000 0.000 0.000
Er1 Er 0.000 0.000 0.500
Pd1 Pd 0.250 0.250 0.250
Ru1 Ru 0.250 0.250 0.750
```

Computed properties:
Polymorph energy (0 for the lowest one): 36.2 meV/atom
ΔE_f: -0.656 eV per atom
D(E_F): 6.32 states/eV/cell

# 2
Compound: ErZrPdRu
Source: Alexandria
Functional: GGA-PBE
Structure: optimized geometry

```
data_ErZrPdRu
_space_group_name_H-M_alt 'F -4 3 m'
_space_group_IT_number 216
_space_group_name_Hall 'F -4 2 3'
_cell_length_a 6.733
_cell_length_b 6.733
_cell_length_c 6.733
_cell_angle_alpha 90.00
_cell_angle_beta 90.00
_cell_angle_gamma 90.00
loop_
_atom_site_label
_atom_site_type_symbol
_atom_site_fract_x
_atom_site_fract_y
_atom_site_fract_z
Er1 Er 0.000 0.000 0.000
Zr1 Zr 0.000 0.000 0.500
Pd1 Pd 0.250 0.250 0.250
Ru1 Ru 0.250 0.250 0.750
```

Computed properties:
ΔE_f: -0.629 eV per atom
D(E_F): 9.90 states/eV/cell

# 3
Compound: Er6PdS5
Source: Alexandria
Functional: GGA-PBE
Structure: optimized geometry

```
data_Er6PdS5
_space_group_name_H-M_alt 'C 1 2/m 1'
_space_group_IT_number 12
_space_group_name_Hall '-C 2y'
_cell_length_a 6.760
_cell_length_b 11.711
_cell_length_c 6.746
_cell_angle_alpha 90.00
_cell_angle_beta 109.63
_cell_angle_gamma 90.00
loop_
_atom_site_label
_atom_site_type_symbol
_atom_site_fract_x
_atom_site_fract_y
_atom_site_fract_z
Er1 Er 0.247 0.000 0.254
Er2 Er 0.249 0.170 0.750
Pd1 Pd 0.000 0.500 0.000
S1 S 0.000 0.000 0.500
S2 S 0.000 0.165 0.000
S3 S 0.000 0.331 0.500
```

Computed properties:
Formation energy (no corrections): -21.2 eV per formula unit
D(E_F): 7.59 states/eV/cell

# 4
Compound: ErPdS
Source: Alexandria
Functional: GGA-PBE
Structure: optimized geometry

```
data_ErPdS
_space_group_name_H-M_alt 'C 1 2/m 1'
_space_group_IT_number 12
_space_group_name_Hall '-C 2y'
_cell_length_a 9.512
_cell_length_b 3.856
_cell_length_c 6.678
_cell_angle_alpha 90.00
_cell_angle_beta 103.99
_cell_angle_gamma 90.00
loop_
_atom_site_label
_atom_site_type_symbol
_atom_site_fract_x
_atom_site_fract_y
_atom_site_fract_z
Er1 Er 0.106 0.000 0.265
Pd1 Pd 0.122 0.500 0.927
S1 S 0.177 0.000 0.688
```

Computed properties:
Formation energy (no corrections): -4.0 eV per formula unit

# 5
Compound: Er5PdS4
Source: Alexandria
Functional: GGA-PBE
Structure: optimized geometry

```
data_Er5PdS4
_space_group_name_H-M_alt 'C 1 2/m 1'
_space_group_IT_number 12
_space_group_name_Hall '-C 2y'
_cell_length_a 13.173
_cell_length_b 3.835
_cell_length_c 9.696
_cell_angle_alpha 90.00
_cell_angle_beta 120.10
_cell_angle_gamma 90.00
loop_
_atom_site_label
_atom_site_type_symbol
_atom_site_fract_x
_atom_site_fract_y
_atom_site_fract_z
Er1 Er 0.000 0.000 0.000
Er2 Er 0.100 0.500 0.398
Er3 Er 0.201 0.000 0.804
Pd1 Pd 0.000 0.000 0.500
S1 S 0.101 0.500 0.906
S2 S 0.200 0.000 0.296
```

Computed properties:
Formation energy (no corrections): -17.2 eV per formula unit
D(E_F): 7.87 states/eV/cell

# 6
Compound: ErPdS2
Source: Alexandria
Functional: GGA-PBE
Structure: optimized geometry

```
data_ErPdS2
_space_group_name_H-M_alt 'R 3 m'
_space_group_IT_number 160
_space_group_name_Hall 'R 3 -2"'
_cell_length_a 3.8263
_cell_length_b 3.8263
_cell_length_c 18.2980
_cell_angle_alpha 90.00
_cell_angle_beta 90.00
_cell_angle_gamma 120.00
loop_
_atom_site_label
_atom_site_type_symbol
_atom_site_fract_x
_atom_site_fract_y
_atom_site_fract_z
Er1 Er 0.0000 0.0000 0.0000
Pd1 Pd 0.0000 0.0000 0.1747
S1 S 0.0000 0.0000 0.5805
S2 S 0.0000 0.0000 0.7551
```

Computed properties:
Polymorph energy (0 for the lowest one): 0.0 meV/atom
Formation energy (no corrections): -4.2 eV per formula unit
D(E_F): 11.41 states/eV/cell

# 7
Compound: ErPdS2
Source: Alexandria
Functional: GGA-PBE
Structure: optimized geometry

```
data_ErPdS2
_space_group_name_H-M_alt 'R -3 m'
_space_group_IT_number 166
_space_group_name_Hall '-R 3 2"'
_cell_length_a 3.6747
_cell_length_b 3.6747
_cell_length_c 23.3141
_cell_angle_alpha 90.00
_cell_angle_beta 90.00
_cell_angle_gamma 120.00
loop_
_atom_site_label
_atom_site_type_symbol
_atom_site_fract_x
_atom_site_fract_y
_atom_site_fract_z
Er1 Er 0.0000 0.0000 0.0000
Pd1 Pd 0.0000 0.0000 0.5000
S1 S 0.0000 0.0000 0.1128
```

Computed properties:
Polymorph energy (0 for the lowest one): 666.1 meV/atom
Formation energy (no corrections): -1.6 eV per formula unit
D(E_F): 10.10 states/eV/cell

# 8
Compound: Er6PdSe2S3
Source: Alexandria
Functional: GGA-PBE
Structure: optimized geometry

```
data_Er6PdSe2S3
_space_group_name_H-M_alt 'C 1 2/m 1'
_space_group_IT_number 12
_space_group_name_Hall '-C 2y'
_cell_length_a 17.356
_cell_length_b 3.893
_cell_length_c 8.034
_cell_angle_alpha 90.00
_cell_angle_beta 103.32
_cell_angle_gamma 90.00
loop_
_atom_site_label
_atom_site_type_symbol
_atom_site_fract_x
_atom_site_fract_y
_atom_site_fract_z
Er1 Er 0.004 0.000 0.254
Er2 Er 0.162 0.500 0.095
Er3 Er 0.167 0.500 0.573
Pd1 Pd 0.000 0.500 0.500
Se1 Se 0.168 0.000 0.838
S1 S 0.000 0.500 0.000
S2 S 0.170 0.000 0.334
```

Computed properties:
Formation energy (no corrections): -20.1 eV per formula unit
D(E_F): 9.07 states/eV/cell

# 9
Compound: Er4PdSeS2
Source: Alexandria
Functional: GGA-PBE
Structure: optimized geometry

```
data_Er4PdSeS2
_space_group_name_H-M_alt 'P 1 2/m 1'
_space_group_IT_number 10
_space_group_name_Hall '-P 2y'
_cell_length_a 6.876
_cell_length_b 3.878
_cell_length_c 6.959
_cell_angle_alpha 90.00
_cell_angle_beta 108.56
_cell_angle_gamma 90.00
loop_
_atom_site_label
_atom_site_type_symbol
_atom_site_fract_x
_atom_site_fract_y
_atom_site_fract_z
Er1 Er 0.243 0.000 0.236
Er2 Er 0.247 0.500 0.757
Pd1 Pd 0.000 0.000 0.500
Se1 Se 0.500 0.500 0.500
S1 S 0.000 0.500 0.000
S2 S 0.500 0.000 0.000
```

Computed properties:
Formation energy (no corrections): -12.7 eV per formula unit
D(E_F): 3.44 states/eV/cell

# 10
Compound: Er4Te2PdS
Source: Alexandria
Functional: GGA-PBE
Structure: optimized geometry

```
data_Er4Te2PdS
_space_group_name_H-M_alt 'P 1 2/m 1'
_space_group_IT_number 10
_space_group_name_Hall '-P 2y'
_cell_length_a 7.290
_cell_length_b 4.049
_cell_length_c 7.344
_cell_angle_alpha 90.00
_cell_angle_beta 108.60
_cell_angle_gamma 90.00
loop_
_atom_site_label
_atom_site_type_symbol
_atom_site_fract_x
_atom_site_fract_y
_atom_site_fract_z
Er1 Er 0.231 0.000 0.209
Er2 Er 0.266 0.500 0.786
Te1 Te 0.000 0.000 0.500
Te2 Te 0.500 0.500 0.500
Pd1 Pd 0.000 0.500 0.000
S1 S 0.500 0.000 0.000
```

Computed properties:
Formation energy (no corrections): -10.5 eV per formula unit
D(E_F): 4.63 states/eV/cell

# 11
Compound: Er6Sb2Pd
Source: Alexandria
Functional: GGA-PBE
Structure: optimized geometry

```
data_Er6Sb2Pd
_space_group_name_H-M_alt 'P 1 21/c 1'
_space_group_IT_number 14
_space_group_name_Hall '-P 2ybc'
_cell_length_a 6.338
_cell_length_b 7.896
_cell_length_c 11.769
_cell_angle_alpha 90.00
_cell_angle_beta 121.75
_cell_angle_gamma 90.00
loop_
_atom_site_label
_atom_site_type_symbol
_atom_site_fract_x
_atom_site_fract_y
_atom_site_fract_z
Er1 Er 0.079 0.194 0.455
Er2 Er 0.323 0.670 0.454
Er3 Er 0.379 0.027 0.241
Sb1 Sb 0.147 0.119 0.745
Pd1 Pd 0.500 0.000 0.500
```

Computed properties:
Formation energy (no corrections): -5.7 eV per formula unit
D(E_F): 17.83 states/eV/cell

# 12
Compound: ErSb2Pd9
Source: Alexandria
Functional: GGA-PBE
Structure: optimized geometry

```
data_ErSb2Pd9
_space_group_name_H-M_alt 'P 4/m m m'
_space_group_IT_number 123
_space_group_name_Hall '-P 4 2'
_cell_length_a 4.074
_cell_length_b 4.074
_cell_length_c 12.177
_cell_angle_alpha 90.00
_cell_angle_beta 90.00
_cell_angle_gamma 90.00
loop_
_atom_site_label
_atom_site_type_symbol
_atom_site_fract_x
_atom_site_fract_y
_atom_site_fract_z
Er1 Er 0.000 0.000 0.000
Sb1 Sb 0.000 0.000 0.332
Pd1 Pd 0.000 0.500 0.171
Pd2 Pd 0.000 0.500 0.500
Pd3 Pd 0.500 0.500 0.000
Pd4 Pd 0.500 0.500 0.338
```

Computed properties:
Formation energy (no corrections): -6.7 eV per formula unit
D(E_F): 4.23 states/eV/cell

# 13
Compound: ErSbPd
Source: Alexandria
Functional: GGA-PBE
Structure: optimized geometry

```
data_ErSbPd
_space_group_name_H-M_alt 'F -4 3 m'
_space_group_IT_number 216
_space_group_name_Hall 'F -4 2 3'
_cell_length_a 6.564
_cell_length_b 6.564
_cell_length_c 6.564
_cell_angle_alpha 90.00
_cell_angle_beta 90.00
_cell_angle_gamma 90.00
loop_
_atom_site_label
_atom_site_type_symbol
_atom_site_fract_x
_atom_site_fract_y
_atom_site_fract_z
Er1 Er 0.000 0.000 0.000
Sb1 Sb 0.000 0.000 0.500
Pd1 Pd 0.250 0.250 0.750
```

Computed properties:
Formation energy (no corrections): -3.3 eV per formula unit
D(E_F): 0.44 states/eV/cell

# 14
Compound: ErSb2Pd7
Source: Alexandria
Functional: GGA-PBE
Structure: optimized geometry

```
data_ErSb2Pd7
_space_group_name_H-M_alt 'C m m m'
_space_group_IT_number 65
_space_group_name_Hall '-C 2 2'
_cell_length_a 7.496
_cell_length_b 13.035
_cell_length_c 4.501
_cell_angle_alpha 90.00
_cell_angle_beta 90.00
_cell_angle_gamma 90.00
loop_
_atom_site_label
_atom_site_type_symbol
_atom_site_fract_x
_atom_site_fract_y
_atom_site_fract_z
Er1 Er 0.000 0.000 0.000
Sb1 Sb 0.000 0.303 0.500
Pd1 Pd 0.000 0.209 0.000
Pd2 Pd 0.000 0.500 0.500
Pd3 Pd 0.181 0.110 0.500
```

Computed properties:
Polymorph energy (0 for the lowest one): 289.5 meV/atom
Formation energy (no corrections): -3.2 eV per formula unit
D(E_F): 8.03 states/eV/cell

# 15
Compound: ErSb4Pd15
Source: Alexandria
Functional: GGA-PBE
Structure: optimized geometry

```
data_ErSb4Pd15
_space_group_name_H-M_alt 'P 4/m m m'
_space_group_IT_number 123
_space_group_name_Hall '-P 4 2'
_cell_length_a 4.079
_cell_length_b 4.079
_cell_length_c 20.170
_cell_angle_alpha 90.00
_cell_angle_beta 90.00
_cell_angle_gamma 90.00
loop_
_atom_site_label
_atom_site_type_symbol
_atom_site_fract_x
_atom_site_fract_y
_atom_site_fract_z
Er1 Er 0.000 0.000 0.000
Sb1 Sb 0.000 0.000 0.199
Sb2 Sb 0.000 0.000 0.400
Pd1 Pd 0.000 0.500 0.103
Pd2 Pd 0.000 0.500 0.301
Pd3 Pd 0.000 0.500 0.500
Pd4 Pd 0.500 0.500 0.000
Pd5 Pd 0.500 0.500 0.204
Pd6 Pd 0.500 0.500 0.401
```

Computed properties:
Formation energy (no corrections): -9.6 eV per formula unit
D(E_F): 9.99 states/eV/cell

# 16
Compound: Er8Sb2Pd3
Source: Alexandria
Functional: GGA-PBE
Structure: optimized geometry

```
data_Er8Sb2Pd3
_space_group_name_H-M_alt 'C 1 2/m 1'
_space_group_IT_number 12
_space_group_name_Hall '-C 2y'
_cell_length_a 16.640
_cell_length_b 7.318
_cell_length_c 7.087
_cell_angle_alpha 90.00
_cell_angle_beta 110.39
_cell_angle_gamma 90.00
loop_
_atom_site_label
_atom_site_type_symbol
_atom_site_fract_x
_atom_site_fract_y
_atom_site_fract_z
Er1 Er 0.076 0.000 0.265
Er2 Er 0.089 0.500 0.407
Er3 Er 0.115 0.258 0.887
Sb1 Sb 0.246 0.000 0.191
Pd1 Pd 0.000 0.200 0.500
Pd2 Pd 0.000 0.500 0.000
```

Computed properties:
Formation energy (no corrections): -7.4 eV per formula unit
D(E_F): 19.14 states/eV/cell

# 17
Compound: ErSb2Pd6
Source: Alexandria
Functional: GGA-PBE
Structure: optimized geometry

```
data_ErSb2Pd6
_space_group_name_H-M_alt 'C 1 2/m 1'
_space_group_IT_number 12
_space_group_name_Hall '-C 2y'
_cell_length_a 9.187
_cell_length_b 4.124
_cell_length_c 8.866
_cell_angle_alpha 90.00
_cell_angle_beta 106.87
_cell_angle_gamma 90.00
loop_
_atom_site_label
_atom_site_type_symbol
_atom_site_fract_x
_atom_site_fract_y
_atom_site_fract_z
Er1 Er 0.000 0.000 0.000
Sb1 Sb 0.195 0.500 0.261
Pd1 Pd 0.008 0.000 0.326
Pd2 Pd 0.159 0.500 0.555
Pd3 Pd 0.168 0.500 0.888
```

Computed properties:
Formation energy (no corrections): -5.2 eV per formula unit
D(E_F): 8.52 states/eV/cell

# 18
Compound: Er2SbPd
Source: Alexandria
Functional: GGA-PBE
Structure: optimized geometry

```
data_Er2SbPd
_space_group_name_H-M_alt 'P 4/m m m'
_space_group_IT_number 123
_space_group_name_Hall '-P 4 2'
_cell_length_a 4.979
_cell_length_b 4.979
_cell_length_c 3.824
_cell_angle_alpha 90.00
_cell_angle_beta 90.00
_cell_angle_gamma 90.00
loop_
_atom_site_label
_atom_site_type_symbol
_atom_site_fract_x
_atom_site_fract_y
_atom_site_fract_z
Er1 Er 0.000 0.500 0.000
Sb1 Sb 0.000 0.000 0.500
Pd1 Pd 0.500 0.500 0.500
```

Computed properties:
Formation energy (no corrections): -3.2 eV per formula unit
D(E_F): 3.08 states/eV/cell

# 19
Compound: Er2Sb3Pd8
Source: Alexandria
Functional: GGA-PBE
Structure: optimized geometry

```
data_Er2Sb3Pd8
_space_group_name_H-M_alt 'C 1 2/m 1'
_space_group_IT_number 12
_space_group_name_Hall '-C 2y'
_cell_length_a 12.700
_cell_length_b 7.735
_cell_length_c 5.973
_cell_angle_alpha 90.00
_cell_angle_beta 109.59
_cell_angle_gamma 90.00
loop_
_atom_site_label
_atom_site_type_symbol
_atom_site_fract_x
_atom_site_fract_y
_atom_site_fract_z
Er1 Er 0.177 0.000 0.207
Sb1 Sb 0.000 0.197 0.500
Sb2 Sb 0.000 0.500 0.000
Pd1 Pd 0.109 0.500 0.458
Pd2 Pd 0.145 0.309 0.906
Pd3 Pd 0.196 0.000 0.701
```

Computed properties:
Formation energy (no corrections): -5.7 eV per formula unit
D(E_F): 11.65 states/eV/cell

# 20
Compound: Er3SbPd
Source: Alexandria
Functional: GGA-PBE
Structure: optimized geometry

```
data_Er3SbPd
_space_group_name_H-M_alt 'C 1 2/m 1'
_space_group_IT_number 12
_space_group_name_Hall '-C 2y'
_cell_length_a 12.166
_cell_length_b 5.180
_cell_length_c 9.674
_cell_angle_alpha 90.00
_cell_angle_beta 118.87
_cell_angle_gamma 90.00
loop_
_atom_site_label
_atom_site_type_symbol
_atom_site_fract_x
_atom_site_fract_y
_atom_site_fract_z
Er1 Er 0.121 0.000 0.425
Er2 Er 0.131 0.500 0.784
Er3 Er 0.142 0.500 0.176
Sb1 Sb 0.099 0.000 0.934
Pd1 Pd 0.119 0.500 0.484
```

Computed properties:
Formation energy (no corrections): -3.4 eV per formula unit
D(E_F): 12.30 states/eV/cell

# 21
Compound: Er12SbPd6
Source: Alexandria
Functional: GGA-PBE
Structure: optimized geometry

```
data_Er12SbPd6
_space_group_name_H-M_alt 'I m -3'
_space_group_IT_number 204
_space_group_name_Hall '-I 2 2 3'
_cell_length_a 9.880
_cell_length_b 9.880
_cell_length_c 9.880
_cell_angle_alpha 90.00
_cell_angle_beta 90.00
_cell_angle_gamma 90.00
loop_
_atom_site_label
_atom_site_type_symbol
_atom_site_fract_x
_atom_site_fract_y
_atom_site_fract_z
Er1 Er 0.000 0.298 0.185
Sb1 Sb 0.000 0.000 0.000
Pd1 Pd 0.000 0.137 0.500
```

Computed properties:
Formation energy (no corrections): -13.0 eV per formula unit
D(E_F): 37.72 states/eV/cell

# 22
Compound: Er2SbPd6
Source: Alexandria
Functional: GGA-PBE
Structure: optimized geometry

```
data_Er2SbPd6
_space_group_name_H-M_alt 'I m m m'
_space_group_IT_number 71
_space_group_name_Hall '-I 2 2'
_cell_length_a 4.015
_cell_length_b 7.834
_cell_length_c 11.991
_cell_angle_alpha 90.00
_cell_angle_beta 90.00
_cell_angle_gamma 90.00
loop_
_atom_site_label
_atom_site_type_symbol
_atom_site_fract_x
_atom_site_fract_y
_atom_site_fract_z
Er1 Er 0.000 0.000 0.158
Sb1 Sb 0.000 0.000 0.500
Pd1 Pd 0.000 0.238 0.334
Pd2 Pd 0.000 0.278 0.000
```

Computed properties:
Formation energy (no corrections): -5.0 eV per formula unit
D(E_F): 5.32 states/eV/cell